Record 1
The following is a PBE calculation of a relaxed Mg2SnC crystal, from the Alexandria database.

Its energy of formation from the pure elements is 979 meV per atom. For the final energy, the calculation gives -0.2297 Ry per atom. The energy above the most stable polymorph in this dataset is 1.64 eV/f.u.

It has space group Fm-3m (No. 225), with a = 6.624 Å, b = 6.624 Å, c = 6.624 Å, α = 90.00°, β = 90.00° and γ = 90.00°. Symmetry generates all atoms from Mg at (0.250, 0.250, 0.250), Sn at (0.000, 0.000, 0.000) and C at (0.000, 0.000, 0.500).

Record 2
The following is a PBE calculation of a relaxed Mg2SnC crystal, from the Alexandria database.

Its energy of formation from the pure elements is 568 meV per atom. For the final energy, the calculation gives -0.2599 Ry per atom. The energy above the most stable polymorph in this dataset is 0.00 eV/f.u.

It has space group I-42d (No. 122), with a = 7.420 Å, b = 7.420 Å, c = 5.497 Å, α = 90.00°, β = 90.00° and γ = 90.00°. Symmetry generates all atoms from Mg at (0.131, 0.250, 0.125), Sn at (0.000, 0.000, 0.500) and C at (0.000, 0.000, 0.000).

Record 3
The following is a PBE calculation of a relaxed MgSn2C crystal, from the Alexandria database.

Its energy of formation from the pure elements is 702 meV per atom. For the final energy, the calculation gives -0.2943 Ry per atom. The energy above the most stable polymorph in this dataset is 0.00 eV/f.u.

It has space group I-42d (No. 122), with a = 6.283 Å, b = 6.283 Å, c = 9.798 Å, α = 90.00°, β = 90.00° and γ = 90.00°. Symmetry generates all atoms from Mg at (0.000, 0.000, 0.000), Sn at (0.163, 0.250, 0.625) and C at (0.000, 0.000, 0.500).

Record 4
The following is a PBE calculation of a relaxed MgSn2C crystal, from the Alexandria database.

Its energy of formation from the pure elements is 1229 meV per atom. For the final energy, the calculation gives -0.2556 Ry per atom. The energy above the most stable polymorph in this dataset is 2.11 eV/f.u.

It has space group Fm-3m (No. 225), with a = 6.856 Å, b = 6.856 Å, c = 6.856 Å, α = 90.00°, β = 90.00° and γ = 90.00°. Symmetry generates all atoms from Mg at (0.000, 0.000, 0.000), Sn at (0.250, 0.250, 0.250) and C at (0.000, 0.000, 0.500).

Record 5
The following is a PBE calculation of a relaxed Tm2MgSnC crystal, from the Alexandria database.

Its energy of formation from the pure elements is -518 meV per atom. For the final energy, the calculation gives -0.3874 Ry per atom.

It has space group P4/mmm (No. 123), with a = 4.846 Å, b = 4.846 Å, c = 4.415 Å, α = 90.00°, β = 90.00° and γ = 90.00°. Symmetry generates all atoms from Tm at (0.000, 0.500, 0.000), Mg at (0.000, 0.000, 0.500), Sn at (0.500, 0.500, 0.500) and C at (0.000, 0.000, 0.000).

Record 6
The following is a PBE calculation of a relaxed YMg2SnC crystal, from the Alexandria database.

Its energy of formation from the pure elements is -229 meV per atom. For the final energy, the calculation gives -0.3532 Ry per atom.

It has space group P4/mmm (No. 123), with a = 4.500 Å, b = 4.500 Å, c = 4.899 Å, α = 90.00°, β = 90.00° and γ = 90.00°. Symmetry generates all atoms from Y at (0.000, 0.000, 0.000), Mg at (0.000, 0.500, 0.500), Sn at (0.500, 0.500, 0.000) and C at (0.000, 0.000, 0.500).

Record 7
The following is a PBE calculation of a relaxed Y2MgSnC crystal, from the Alexandria database.

Its energy of formation from the pure elements is -516 meV per atom. For the final energy, the calculation gives -0.4458 Ry per atom.

It has space group P4/mmm (No. 123), with a = 4.944 Å, b = 4.944 Å, c = 4.426 Å, α = 90.00°, β = 90.00° and γ = 90.00°. Symmetry generates all atoms from Y at (0.000, 0.500, 0.000), Mg at (0.000, 0.000, 0.500), Sn at (0.500, 0.500, 0.500) and C at (0.000, 0.000, 0.000).

Record 8
The following is a PBE calculation of a relaxed Sr2MgC crystal, from the Alexandria database.

Its energy of formation from the pure elements is 685 meV per atom. For the final energy, the calculation gives -0.2103 Ry per atom. The energy above the most stable polymorph in this dataset is 0.00 eV/f.u.

It has space group I-42d (No. 122), with a = 8.251 Å, b = 8.251 Å, c = 7.558 Å, α = 90.00°, β = 90.00° and γ = 90.00°. Symmetry generates all atoms from Sr at (0.149, 0.250, 0.125), Mg at (0.000, 0.000, 0.500) and C at (0.000, 0.000, 0.000).